CeMnSi2Os: optimized geometry, PBE.

abc: 4.0405 4.0405 5.8769
angles: 110.11 110.11 90.00
With the nearest neighbours (Å) after each atom.
Element x y z (fractional)
Si 0.6218 0.6218 0.2435  2 Mn 2.41, 2 Os 2.41, 1 Si 2.50
Si 0.3782 0.3782 0.7565  2 Os 2.41, 2 Mn 2.41, 1 Si 2.50
Os 0.7500 0.2500 0.5000  4 Si 2.41
Ce 0.0000 0.0000 0.0000  8 Si 3.12, 4 Mn 3.27, 4 Os 3.27
Mn 0.2500 0.7500 0.5000  4 Si 2.41

Computed properties:
Crystal system ... tetragonal
E_tot ... -8.094 eV/atom
Formation energy from raw total energies ... -15.2 kcal/mol of atoms